This record from the Alexandria database describes a relaxed structure of KMnP2O. The functional is PBE with a Hubbard U.

Values from the calculation:
Space-group type   P4/mmm, No. 123
Relative energy among the computed polymorphs   10.05 eV per formula unit

a b c (Å): 5.163 5.163 4.223
angles (deg): 90.00 90.00 90.00
Fractional coordinates of all 5 atoms:
K 0.000 0.000 0.000
Mn 0.500 0.500 0.500
P 0.000 0.500 0.000
P 0.500 0.000 0.000
O 0.000 0.000 0.500